CaInPd | PBE-GGA | optimized geometry

abc: 4.4986 7.3118 8.4308
angles: 90.00 90.00 90.00
Sites, in units of the cell vectors:
Ca1 0.7500 0.0302 0.3206
Pd1 0.7500 0.7693 0.8764
Pd2 0.2500 0.7307 0.3764
Ca2 0.7500 0.5302 0.1794
Pd3 0.7500 0.2693 0.6236
In1 0.7500 0.6499 0.5633
In2 0.2500 0.3501 0.4367
In3 0.7500 0.1499 0.9367
Ca3 0.2500 0.9698 0.6794
In4 0.2500 0.8501 0.0633
Ca4 0.2500 0.4698 0.8206
Pd4 0.2500 0.2307 0.1236

Space group: Pnma (62)
DFT formation energy: -0.708 eV per atom
Uncorrected energy: -12.1 eV per formula unit
Calculated volume: 23.1 A^3/atom